Record 1
Computed, not measured: a relaxed structure of PuMg8Zn4 at the PBE level of DFT.

Cell: 7.449 7.449 7.449 Å, 97.90 97.90 136.47°
Fractional coordinates of all 13 atoms:
1 Pu 0.000 0.000 0.000
2 Mg 0.000 0.346 0.346
3 Mg 0.000 0.654 0.654
4 Mg 0.286 0.500 0.786
5 Mg 0.346 0.000 0.346
6 Mg 0.500 0.286 0.786
7 Mg 0.500 0.714 0.214
8 Mg 0.654 0.000 0.654
9 Mg 0.714 0.500 0.214
10 Zn 0.000 0.000 0.500
11 Zn 0.000 0.500 0.000
12 Zn 0.500 0.000 0.000
13 Zn 0.500 0.500 0.500

Properties
**SG**: I4/mmm, No. 139
**ΔH_f (0 K)**: -0.06 eV per atom


Record 2
Computed, not measured: a relaxed structure of PuMg2Zn4 at the PBE level of DFT.

Cell: 3.070 4.542 18.957 Å, 90.00 90.00 90.00°
Fractional coordinates of all 14 atoms:
1 Pu 0.000 0.000 0.000
2 Pu 0.500 0.500 0.500
3 Mg 0.000 0.500 0.204
4 Mg 0.000 0.500 0.796
5 Mg 0.500 0.000 0.296
6 Mg 0.500 0.000 0.704
7 Zn 0.000 0.000 0.425
8 Zn 0.000 0.000 0.575
9 Zn 0.000 0.500 0.354
10 Zn 0.000 0.500 0.646
11 Zn 0.500 0.000 0.146
12 Zn 0.500 0.000 0.854
13 Zn 0.500 0.500 0.075
14 Zn 0.500 0.500 0.925

Properties
**SG**: Immm, No. 71
**ΔH_f (0 K)**: -0.10 eV per atom


Record 3
Computed, not measured: a relaxed structure of PuMg2Zn10 at the PBE level of DFT.

Cell: 9.016 7.018 6.858 Å, 81.04 50.25 48.71°
Fractional coordinates of all 13 atoms:
1 Pu 0.000 0.000 0.000
2 Mg 0.000 0.500 0.000
3 Mg 0.500 0.000 0.500
4 Zn 0.000 0.000 0.500
5 Zn 0.009 0.646 0.354
6 Zn 0.287 0.506 0.494
7 Zn 0.354 0.991 0.009
8 Zn 0.494 0.713 0.287
9 Zn 0.500 0.500 0.000
10 Zn 0.506 0.287 0.713
11 Zn 0.646 0.009 0.991
12 Zn 0.713 0.494 0.506
13 Zn 0.991 0.354 0.646

Properties
**SG**: Fmmm, No. 69
**ΔH_f (0 K)**: -0.07 eV per atom


Record 4
Computed, not measured: a relaxed structure of PuMg2Zn9 at the PBE level of DFT.

Cell: 8.961 8.961 8.961 Å, 34.46 34.46 34.46°
Fractional coordinates of all 12 atoms:
1 Pu 0.000 0.000 0.000
2 Mg 0.141 0.141 0.141
3 Mg 0.859 0.859 0.859
4 Zn 0.080 0.589 0.589
5 Zn 0.334 0.334 0.334
6 Zn 0.411 0.411 0.920
7 Zn 0.411 0.920 0.411
8 Zn 0.500 0.500 0.500
9 Zn 0.589 0.080 0.589
10 Zn 0.589 0.589 0.080
11 Zn 0.666 0.666 0.666
12 Zn 0.920 0.411 0.411

Properties
**SG**: R-3m, No. 166
**ΔH_f (0 K)**: -0.13 eV per atom


Record 5
Computed, not measured: a relaxed structure of PuMgZn11 at the PBE level of DFT.

Cell: 6.851 6.851 6.890 Å, 98.56 98.56 134.15°
Fractional coordinates of all 13 atoms:
1 Pu 0.000 0.000 0.000
2 Mg 0.000 0.000 0.500
3 Zn 0.000 0.500 0.000
4 Zn 0.005 0.363 0.350
5 Zn 0.290 0.509 0.787
6 Zn 0.363 0.005 0.350
7 Zn 0.491 0.710 0.213
8 Zn 0.500 0.000 0.000
9 Zn 0.500 0.500 0.500
10 Zn 0.509 0.290 0.787
11 Zn 0.637 0.995 0.650
12 Zn 0.710 0.491 0.213
13 Zn 0.995 0.637 0.650

Properties
**SG**: C2/m, No. 12
**ΔH_f (0 K)**: -0.09 eV per atom


Record 6
Computed, not measured: a relaxed structure of Pu2MgZn3 at the PBE level of DFT.

Cell: 5.628 5.628 8.883 Å, 90.00 90.00 120.00°
Fractional coordinates of all 12 atoms:
1 Pu 0.333 0.667 0.069
2 Pu 0.333 0.667 0.431
3 Pu 0.667 0.333 0.569
4 Pu 0.667 0.333 0.931
5 Mg 0.000 0.000 0.000
6 Mg 0.000 0.000 0.500
7 Zn 0.173 0.345 0.750
8 Zn 0.173 0.827 0.750
9 Zn 0.345 0.173 0.250
10 Zn 0.655 0.827 0.750
11 Zn 0.827 0.173 0.250
12 Zn 0.827 0.655 0.250

Properties
**SG**: P6_3/mmc, No. 194
**ΔH_f (0 K)**: -0.10 eV per atom


- What is the formula in the sixth record?
  Pu2MgZn3


- Among the records above, which one has the lowest ΔH_f (0 K)?
  PuMg2Zn9


What did the fourth record say?
Computed, not measured: a relaxed structure of PuMg2Zn9 at the PBE level of DFT.

Cell: 8.961 8.961 8.961 Å, 34.46 34.46 34.46°
Fractional coordinates of all 12 atoms:
1 Pu 0.000 0.000 0.000
2 Mg 0.141 0.141 0.141
3 Mg 0.859 0.859 0.859
4 Zn 0.080 0.589 0.589
5 Zn 0.334 0.334 0.334
6 Zn 0.411 0.411 0.920
7 Zn 0.411 0.920 0.411
8 Zn 0.500 0.500 0.500
9 Zn 0.589 0.080 0.589
10 Zn 0.589 0.589 0.080
11 Zn 0.666 0.666 0.666
12 Zn 0.920 0.411 0.411

Properties
**SG**: R-3m, No. 166
**ΔH_f (0 K)**: -0.13 eV per atom


- The lowest ΔH_f (0 K) belongs to which entry?
  PuMg2Zn9